(1)
TbPmThGa (PBE, relaxed); symmetry = F-43m, No. 216; energy of formation = -9 kJ/mol of formula units; crystal system = cubic; magnetization = 0.00 μB/cell
1.0
5.397 0.000 0.000
2.698 4.674 0.000
2.698 1.558 4.406
Tb Ga Th Pm
1 1 1 1
Cartesian
0.000 0.000 0.000
2.698 1.558 1.102
5.397 3.116 2.203
8.095 4.674 3.305


(2)
TcRh2Se (PBE, relaxed); symmetry = Immm, No. 71; crystal system = orthorhombic; ΔE_f (raw) = 0.15 eV/atom; magnetization = 0.00 μB/cell
1.0
5.123 -0.003 0.001
2.350 4.552 -0.001
-3.299 -2.993 2.531
Rh Se Tc
2 1 1
Cartesian
7.303 4.446 0.000
3.906 2.378 0.000
2.780 -0.361 1.266
1.393 1.917 1.265


(3)
Zn2As2Pt (PBE, relaxed); symmetry = P4/mbm, No. 127; energy of formation = 34 kJ/mol of formula units; crystal system = tetragonal; magnetization = 0.00 μB/cell
1.0
-3.067 -2.533 -5.593
4.363 -5.298 0.007
-2.443 -2.008 2.249
As Zn Pt
4 4 2
Cartesian
2.606 -5.215 -1.826
0.396 -5.659 -4.624
-1.310 -2.617 -3.760
0.900 -2.172 -0.962
1.141 -4.749 0.347
0.569 -7.182 -2.449
-2.288 -5.091 -3.684
-1.716 -2.657 -0.889
0.000 0.000 0.000
0.648 -3.916 -2.793


(4)
Rb2GePt2 (PBE, relaxed); E above lowest polymorph = 189 meV/atom; symmetry = P4/mbm, No. 127; energy of formation = -43 kJ/mol of formula units; crystal system = tetragonal; magnetization = 0.00 μB/cell
1.0
6.599 0.000 0.000
0.000 6.599 0.000
0.000 0.000 5.854
Ge Rb Pt
2 4 4
Cartesian
0.000 0.000 0.000
3.300 3.300 0.000
1.169 4.469 2.927
4.469 5.430 2.927
5.430 2.130 2.927
2.130 1.169 2.927
2.349 5.648 0.000
5.648 4.251 0.000
4.251 0.951 0.000
0.951 2.349 0.000


(5)
CoSn2BiPd (PBE, relaxed); symmetry = P4/mmm, No. 123; energy of formation = 602 kJ/mol of formula units; crystal system = tetragonal; magnetization = 2.07 μB/cell
1.0
5.885 0.000 0.000
0.000 5.042 0.000
0.000 0.000 5.885
Co Bi Pd Sn
1 1 1 2
Cartesian
2.943 2.521 2.943
0.000 0.000 0.000
0.000 2.521 0.000
0.000 0.000 2.943
2.943 0.000 0.000


(6)
Sm2SnO (PBE, relaxed); E above lowest polymorph = 31 meV/atom; symmetry = Immm, No. 71; crystal system = orthorhombic; ΔE_f (raw) = -1.82 eV/atom; magnetization = 0.00 μB/cell
1.0
3.738 0.000 0.000
0.000 6.961 -0.024
-1.870 -3.452 7.758
Sm Sn O
4 2 2
Cartesian
0.795 -0.594 1.827
-1.074 1.146 4.659
0.794 -2.329 6.739
0.795 2.863 1.813
0.795 1.156 7.356
2.663 4.622 4.017
0.795 1.129 0.324
0.795 1.141 3.316


(7)
PaNiH (PBE, relaxed); E above lowest polymorph = 260 meV/atom; symmetry = I4mm, No. 107; crystal system = tetragonal; magnetization = 0.00 μB/cell
1.0
-3.523 -0.159 -1.091
-0.770 -2.262 2.814
1.423 3.877 1.085
Ni Pa H
1 1 1
Cartesian
-2.228 -0.910 1.081
-2.827 1.301 2.694
-0.466 1.720 1.255


(8)
SrMgSbI (PBE, relaxed); symmetry = R-3m, No. 166; crystal system = trigonal; ΔE_f (raw) = -1.11 eV/atom; magnetization = 0.00 μB/cell
1.0
-0.164 0.086 -4.766
2.903 -2.809 -2.537
-9.839 -12.170 -2.269
Sr Mg Sb I
2 2 2 2
Cartesian
-7.108 -9.310 -2.311
0.009 -5.583 -7.262
-7.318 -13.258 -7.149
0.219 -1.635 -2.424
0.500 -3.204 -4.849
-7.600 -11.689 -4.724
-4.027 -9.810 -7.200
-3.073 -5.083 -2.373


Question: Which formula does entry 7 have?
Answer: PaNiH